No. 1
{"formula": "Sr2CaH8Rh", "functional": "PBE", "state": "relaxed", "rho_g_cm3": 3.52, "space_group": "P-3m1, No. 164", "energy_ev_per_atom": -3.685, "lattice": [[5.132, 0.000, 0.000], [-2.566, 4.445, 0.000], [0.000, 0.000, 6.754]], "species": ["Sr", "Sr", "Ca", "H", "H", "H", "H", "H", "H", "H", "H", "Rh"], "frac_coords": [[0.333, 0.667, 0.329], [0.667, 0.333, 0.671], [0.000, 0.000, 0.000], [0.157, 0.313, 0.650], [0.157, 0.843, 0.650], [0.313, 0.157, 0.350], [0.333, 0.667, 0.981], [0.667, 0.333, 0.019], [0.687, 0.843, 0.650], [0.843, 0.157, 0.350], [0.843, 0.687, 0.350], [0.000, 0.000, 0.500]]}



No. 2
{"formula": "Sr2CaH12Rh3", "functional": "PBE", "state": "relaxed", "rho_g_cm3": 4.79, "space_group": "R-3m, No. 166", "energy_ev_per_atom": -4.184, "lattice": [[3.304, 1.908, 4.914], [-3.304, 1.908, 4.914], [0.000, -3.815, 4.914]], "species": ["Sr", "Sr", "Ca", "H", "H", "H", "H", "H", "H", "H", "H", "H", "H", "H", "H", "Rh", "Rh", "Rh"], "frac_coords": [[0.115, 0.115, 0.115], [0.885, 0.885, 0.885], [0.500, 0.500, 0.500], [0.081, 0.629, 0.629], [0.210, 0.210, 0.616], [0.210, 0.616, 0.210], [0.371, 0.371, 0.919], [0.371, 0.919, 0.371], [0.384, 0.790, 0.790], [0.616, 0.210, 0.210], [0.629, 0.081, 0.629], [0.629, 0.629, 0.081], [0.790, 0.384, 0.790], [0.790, 0.790, 0.384], [0.919, 0.371, 0.371], [0.000, 0.500, 0.500], [0.500, 0.000, 0.500], [0.500, 0.500, 0.000]]}



No. 3
{"formula": "CaTaHRh2", "functional": "PBE", "state": "relaxed", "rho_g_cm3": 8.88, "space_group": "P4/mmm, No. 123", "energy_ev_per_atom": -5.505, "lattice": [[4.967, 0.000, 0.000], [0.000, 4.967, 0.000], [0.000, 0.000, 3.242]], "species": ["Ca", "Ta", "H", "Rh", "Rh"], "frac_coords": [[0.000, 0.000, 0.000], [0.500, 0.500, 0.500], [0.000, 0.000, 0.500], [0.000, 0.500, 0.000], [0.500, 0.000, 0.000]]}



No. 4
{"formula": "CaTbH8Rh2", "functional": "PBE", "state": "relaxed", "rho_g_cm3": 5.38, "space_group": "R-3m, No. 166", "energy_ev_per_atom": -4.239, "lattice": [[2.029, 1.172, 8.936], [-2.029, 1.172, 8.936], [0.000, -2.343, 8.936]], "species": ["Ca", "Tb", "H", "H", "H", "H", "H", "H", "H", "H", "Rh", "Rh"], "frac_coords": [[0.000, 0.000, 0.000], [0.500, 0.500, 0.500], [0.021, 0.021, 0.590], [0.021, 0.590, 0.021], [0.310, 0.310, 0.310], [0.410, 0.979, 0.979], [0.590, 0.021, 0.021], [0.690, 0.690, 0.690], [0.979, 0.410, 0.979], [0.979, 0.979, 0.410], [0.245, 0.245, 0.245], [0.755, 0.755, 0.755]]}